Tm3AgHg | PBE | optimized geometry

Cell lengths 10.0911, 10.0911, 5.1061 Å; angles 90.00, 90.00, 150.70 degrees
Fractional coordinates of all 10 atoms:
Tm1 0.0625 0.9375 0.7500
Tm2 0.2496 0.7504 0.7500
Tm3 0.4366 0.5634 0.7500
Tm4 0.5634 0.4366 0.2500
Tm5 0.7504 0.2496 0.2500
Tm6 0.9375 0.0625 0.2500
Ag1 0.3421 0.6579 0.2500
Ag2 0.6579 0.3421 0.7500
Hg1 0.1558 0.8442 0.2500
Hg2 0.8442 0.1558 0.7500

ΔE_f: -302 meV/atom
Final energy: -18.1 eV per formula unit
SG: Cmcm, No. 63
Excess energy over the best structure of this formula in the dataset: 0.0 meV/atom